4
Lattice="3.413 0.000 0.000 0.000 3.413 0.000 0.000 0.000 8.449" Properties=species:S:1:pos:R:3 comment="KZnCd2 (GGA-PBEsol, relaxed)" spacegroup="P4/mmm (123)" ef_ev_per_atom=0.09 n_ef_per_ev_atom=0.395 dft_energy_ev_per_atom=-1.18 mass_density_g_cm3=5.56 pbc="T T T"
K 0.000 0.000 0.000
Zn 0.000 0.000 4.225
Cd 1.707 1.707 2.655
Cd 1.707 1.707 5.794